# 1
Here is TbGa2Cl5 after structural relaxation from Alexandria via LeMat-Bulk. Energies are from PBE.

Cell lengths 15.987, 7.389, 10.144 Å; angles 90.00, 118.65, 90.00 degrees
Space group Cc (No. 9)
Inequivalent atoms, fractional coordinates:
Tb1 0.000 0.000 0.000 x4
Ga1 0.131 0.472 0.244 x4
Ga2 0.370 0.027 0.757 x4
Cl1 0.000 0.136 0.750 x4
Cl2 0.069 0.314 0.468 x4
Cl3 0.172 0.140 0.165 x4
Cl4 0.328 0.359 0.836 x4
Cl5 0.431 0.187 0.533 x4

Calculated density ... 3.00 g/cm3
Uncorrected formation energy ... -1.4938 eV per atom
Total energy ... -127.5 eV/cell

=====

# 2
Here is Rb2HoSi2S6 after structural relaxation from Alexandria via LeMat-Bulk. Energies are from PBE.

Cell lengths 12.260, 7.134, 7.964 Å; angles 90.00, 121.89, 90.00 degrees
Space group C2/m (No. 12)
Inequivalent atoms, fractional coordinates:
Rb1 0.217 0.000 0.210 x4
Ho1 0.000 0.000 0.500 x2
Si1 0.043 0.500 0.189 x4
S1 0.041 0.254 0.785 x8
S2 0.244 0.500 0.333 x4

Calculated density ... 3.28 g/cm3
Uncorrected formation energy ... -1.0651 eV per atom
Total energy ... -107.7 eV/cell

=====

# 3
Here is TiCo3Ru after structural relaxation from Alexandria via LeMat-Bulk. Energies are from PBE.

Cell lengths 4.187, 4.187, 4.187 Å; angles 90.00, 90.00, 90.00 degrees
Space group Pm-3m (No. 221)
Inequivalent atoms, fractional coordinates:
Ti1 0.000 0.000 0.000 x1
Co1 0.000 0.000 0.500 x3
Ru1 0.500 0.500 0.500 x1

Polymorph energy (0 for the lowest one) ... 0.000 eV/atom
Calculated density ... 7.37 g/cm3
Formation enthalpy at 0 K ... 1182 meV/atom
Total energy ... -32.6 eV/cell

=====

# 4
Here is La2TiSiS after structural relaxation from Alexandria via LeMat-Bulk. Energies are from PBE.

Cell lengths 5.471, 5.471, 4.513 Å; angles 90.00, 90.00, 90.00 degrees
Space group P4/mmm (No. 123)
Inequivalent atoms, fractional coordinates:
La1 0.000 0.500 0.000 x2
Ti1 0.000 0.000 0.500 x1
Si1 0.500 0.500 0.500 x1
S1 0.000 0.000 0.000 x1

Calculated density ... 4.74 g/cm3
Uncorrected formation energy ... -0.5908 eV per atom
Total energy ... -30.3 eV/cell

=====

# 5
Here is Zn4Rh after structural relaxation from Alexandria via LeMat-Bulk. Energies are from PBE.

Cell lengths 4.791, 4.791, 4.791 Å; angles 90.00, 90.00, 90.00 degrees
Space group Pm-3m (No. 221)
Inequivalent atoms, fractional coordinates:
Zn1 0.000 0.000 0.000 x1
Zn2 0.000 0.500 0.500 x3
Rh1 0.500 0.500 0.500 x1

Calculated density ... 5.50 g/cm3
Formation enthalpy at 0 K ... 257 meV/atom
Total energy ... -11.2 eV/cell